This record from Alexandria via LeMat-Bulk describes a relaxed structure of Ac3Ce2PrTe6. The functional is GGA-PBE.

Values from the calculation:
E_form (uncorrected)	-1438	meV per atom
crystal system	monoclinic

The structure in CIF format:
```
data_Ac3Ce2PrTe6
_space_group_name_H-M_alt 'C 1 2/m 1'
_space_group_IT_number 12
_space_group_name_Hall '-C 2y'
_cell_length_a 20.219
_cell_length_b 4.585
_cell_length_c 9.328
_cell_angle_alpha 90.00
_cell_angle_beta 104.19
_cell_angle_gamma 90.00
loop_
_atom_site_label
_atom_site_type_symbol
_atom_site_fract_x
_atom_site_fract_y
_atom_site_fract_z
Ac1 Ac 0.000 0.000 0.000
Ac2 Ac 0.165 0.500 0.334
Ce1 Ce 0.167 0.500 0.835
Pr1 Pr 0.000 0.000 0.500
Te1 Te 0.004 0.500 0.744
Te2 Te 0.165 0.000 0.593
Te3 Te 0.170 0.000 0.076
```

This record from Alexandria via LeMat-Bulk describes a relaxed structure of AcCePrTh. The functional is GGA-PBE.

Values from the calculation:
formation energy	0.262	eV/atom
crystal system	cubic

The structure in CIF format:
```
data_AcCePrTh
_space_group_name_H-M_alt 'F -4 3 m'
_space_group_IT_number 216
_space_group_name_Hall 'F -4 2 3'
_cell_length_a 8.268
_cell_length_b 8.268
_cell_length_c 8.268
_cell_angle_alpha 90.00
_cell_angle_beta 90.00
_cell_angle_gamma 90.00
loop_
_atom_site_label
_atom_site_type_symbol
_atom_site_fract_x
_atom_site_fract_y
_atom_site_fract_z
Ac1 Ac 0.000 0.000 0.000
Ce1 Ce 0.250 0.250 0.250
Pr1 Pr 0.250 0.250 0.750
Th1 Th 0.000 0.000 0.500
```

This record from Alexandria via LeMat-Bulk describes a relaxed structure of AcCePrTl. The functional is GGA-PBE.

Values from the calculation:
formation energy	0.037	eV/atom
crystal system	cubic

The structure in CIF format:
```
data_AcCePrTl
_space_group_name_H-M_alt 'F -4 3 m'
_space_group_IT_number 216
_space_group_name_Hall 'F -4 2 3'
_cell_length_a 8.076
_cell_length_b 8.076
_cell_length_c 8.076
_cell_angle_alpha 90.00
_cell_angle_beta 90.00
_cell_angle_gamma 90.00
loop_
_atom_site_label
_atom_site_type_symbol
_atom_site_fract_x
_atom_site_fract_y
_atom_site_fract_z
Ac1 Ac 0.000 0.000 0.000
Ce1 Ce 0.250 0.250 0.750
Pr1 Pr 0.250 0.250 0.250
Tl1 Tl 0.000 0.000 0.500
```

This record from Alexandria via LeMat-Bulk describes a relaxed structure of AcCePrTm. The functional is GGA-PBE.

Values from the calculation:
formation energy	0.220	eV/atom
crystal system	cubic

The structure in CIF format:
```
data_AcCePrTm
_space_group_name_H-M_alt 'F -4 3 m'
_space_group_IT_number 216
_space_group_name_Hall 'F -4 2 3'
_cell_length_a 8.313
_cell_length_b 8.313
_cell_length_c 8.313
_cell_angle_alpha 90.00
_cell_angle_beta 90.00
_cell_angle_gamma 90.00
loop_
_atom_site_label
_atom_site_type_symbol
_atom_site_fract_x
_atom_site_fract_y
_atom_site_fract_z
Ac1 Ac 0.000 0.000 0.000
Ce1 Ce 0.250 0.250 0.250
Pr1 Pr 0.000 0.000 0.500
Tm1 Tm 0.250 0.250 0.750
```

This record from Alexandria via LeMat-Bulk describes a relaxed structure of AcCePrY. The functional is GGA-PBE.

Values from the calculation:
formation energy	0.212	eV/atom
crystal system	cubic

The structure in CIF format:
```
data_AcCePrY
_space_group_name_H-M_alt 'F -4 3 m'
_space_group_IT_number 216
_space_group_name_Hall 'F -4 2 3'
_cell_length_a 8.369
_cell_length_b 8.369
_cell_length_c 8.369
_cell_angle_alpha 90.00
_cell_angle_beta 90.00
_cell_angle_gamma 90.00
loop_
_atom_site_label
_atom_site_type_symbol
_atom_site_fract_x
_atom_site_fract_y
_atom_site_fract_z
Ac1 Ac 0.000 0.000 0.000
Ce1 Ce 0.000 0.000 0.500
Pr1 Pr 0.250 0.250 0.750
Y1 Y 0.250 0.250 0.250
```

This record from Alexandria via LeMat-Bulk describes a relaxed structure of AcCePt. The functional is GGA-PBE.

Values from the calculation:
formation energy	-0.644	eV/atom
energy relative to the lowest polymorph listed for this composition	0.084	eV per atom
crystal system	monoclinic

The structure in CIF format:
```
data_AcCePt
_space_group_name_H-M_alt 'P 1 21/c 1'
_space_group_IT_number 14
_space_group_name_Hall '-P 2ybc'
_cell_length_a 7.082
_cell_length_b 7.290
_cell_length_c 10.064
_cell_angle_alpha 90.00
_cell_angle_beta 126.50
_cell_angle_gamma 90.00
loop_
_atom_site_label
_atom_site_type_symbol
_atom_site_fract_x
_atom_site_fract_y
_atom_site_fract_z
Ac1 Ac 0.165 0.086 0.397
Ce1 Ce 0.352 0.578 0.602
Pt1 Pt 0.348 0.729 0.342
```

This record from Alexandria via LeMat-Bulk describes a relaxed structure of Ac5CePt6. The functional is GGA-PBE.

Values from the calculation:
formation energy	-1.145	eV/atom
crystal system	monoclinic

The structure in CIF format:
```
data_Ac5CePt6
_space_group_name_H-M_alt 'C 1 2/m 1'
_space_group_IT_number 12
_space_group_name_Hall '-C 2y'
_cell_length_a 7.542
_cell_length_b 13.056
_cell_length_c 7.543
_cell_angle_alpha 90.00
_cell_angle_beta 109.55
_cell_angle_gamma 90.00
loop_
_atom_site_label
_atom_site_type_symbol
_atom_site_fract_x
_atom_site_fract_y
_atom_site_fract_z
Ac1 Ac 0.000 0.000 0.000
Ac2 Ac 0.000 0.166 0.500
Ac3 Ac 0.000 0.332 0.000
Ce1 Ce 0.000 0.500 0.500
Pt1 Pt 0.238 0.500 0.257
Pt2 Pt 0.241 0.340 0.742
```

This record from Alexandria via LeMat-Bulk describes a relaxed structure of AcCePt. The functional is GGA-PBE.

Values from the calculation:
formation energy	-0.558	eV/atom
energy relative to the lowest polymorph listed for this composition	0.170	eV per atom
crystal system	cubic

The structure in CIF format:
```
data_AcCePt
_space_group_name_H-M_alt 'F -4 3 m'
_space_group_IT_number 216
_space_group_name_Hall 'F -4 2 3'
_cell_length_a 7.260
_cell_length_b 7.260
_cell_length_c 7.260
_cell_angle_alpha 90.00
_cell_angle_beta 90.00
_cell_angle_gamma 90.00
loop_
_atom_site_label
_atom_site_type_symbol
_atom_site_fract_x
_atom_site_fract_y
_atom_site_fract_z
Ac1 Ac 0.000 0.000 0.000
Ce1 Ce 0.000 0.000 0.500
Pt1 Pt 0.250 0.250 0.250
```

This record from Alexandria via LeMat-Bulk describes a relaxed structure of Ac5CePt4. The functional is GGA-PBE.

Values from the calculation:
formation energy	-0.930	eV/atom
crystal system	monoclinic

The structure in CIF format:
```
data_Ac5CePt4
_space_group_name_H-M_alt 'C 1 2/m 1'
_space_group_IT_number 12
_space_group_name_Hall '-C 2y'
_cell_length_a 18.921
_cell_length_b 4.372
_cell_length_c 8.567
_cell_angle_alpha 90.00
_cell_angle_beta 104.17
_cell_angle_gamma 90.00
loop_
_atom_site_label
_atom_site_type_symbol
_atom_site_fract_x
_atom_site_fract_y
_atom_site_fract_z
Ac1 Ac 0.000 0.000 0.000
Ac2 Ac 0.162 0.500 0.830
Ac3 Ac 0.167 0.500 0.347
Ce1 Ce 0.000 0.000 0.500
Pt1 Pt 0.000 0.500 0.256
Pt2 Pt 0.165 0.000 0.592
```

This record from Alexandria via LeMat-Bulk describes a relaxed structure of Ac2CePt2. The functional is GGA-PBE.

Values from the calculation:
formation energy	-0.845	eV/atom
crystal system	orthorhombic

The structure in CIF format:
```
data_Ac2CePt2
_space_group_name_H-M_alt 'I b a m'
_space_group_IT_number 72
_space_group_name_Hall '-I 2 2c'
_cell_length_a 8.330
_cell_length_b 11.540
_cell_length_c 6.508
_cell_angle_alpha 90.00
_cell_angle_beta 90.00
_cell_angle_gamma 90.00
loop_
_atom_site_label
_atom_site_type_symbol
_atom_site_fract_x
_atom_site_fract_y
_atom_site_fract_z
Ac1 Ac 0.139 0.154 0.000
Ce1 Ce 0.000 0.500 0.250
Pt1 Pt 0.234 0.103 0.500
```

This record from Alexandria via LeMat-Bulk describes a relaxed structure of AcCe2Pt. The functional is GGA-PBE.

Values from the calculation:
formation energy	-0.408	eV/atom
energy relative to the lowest polymorph listed for this composition	0.027	eV per atom
crystal system	trigonal

The structure in CIF format:
```
data_AcCe2Pt
_space_group_name_H-M_alt 'R 3 m'
_space_group_IT_number 160
_space_group_name_Hall 'R 3 -2"'
_cell_length_a 4.0204
_cell_length_b 4.0204
_cell_length_c 28.4018
_cell_angle_alpha 90.00
_cell_angle_beta 90.00
_cell_angle_gamma 120.00
loop_
_atom_site_label
_atom_site_type_symbol
_atom_site_fract_x
_atom_site_fract_y
_atom_site_fract_z
Ac1 Ac 0.0000 0.0000 0.0000
Ce1 Ce 0.0000 0.0000 0.2268
Ce2 Ce 0.0000 0.0000 0.4408
Pt1 Pt 0.0000 0.0000 0.8341
```

This record from Alexandria via LeMat-Bulk describes a relaxed structure of Ac3Ce2Pt4. The functional is GGA-PBE.

Values from the calculation:
formation energy	-0.981	eV/atom
crystal system	monoclinic

The structure in CIF format:
```
data_Ac3Ce2Pt4
_space_group_name_H-M_alt 'C 1 2/m 1'
_space_group_IT_number 12
_space_group_name_Hall '-C 2y'
_cell_length_a 14.410
_cell_length_b 4.370
_cell_length_c 10.627
_cell_angle_alpha 90.00
_cell_angle_beta 121.67
_cell_angle_gamma 90.00
loop_
_atom_site_label
_atom_site_type_symbol
_atom_site_fract_x
_atom_site_fract_y
_atom_site_fract_z
Ac1 Ac 0.000 0.000 0.000
Ac2 Ac 0.195 0.000 0.796
Ce1 Ce 0.113 0.500 0.390
Pt1 Pt 0.093 0.500 0.887
Pt2 Pt 0.208 0.000 0.314
```